Material: Li2AlN2
Method: DFT, PBE
State: relaxed

Lattice parameters (Å, degrees): 5.308 5.308 3.289 90.00 90.00 90.00
Space group P4/mbm (No. 127)
Asymmetric unit:
Li (0.138, 0.362, 0.000)
Al (0.000, 0.000, 0.500)
N (0.176, 0.676, 0.500)

formation energy from raw total energies	-170	meV/atom

---

Material: LiAlN2
Method: DFT, PBE
State: relaxed

Lattice parameters (Å, degrees): 5.060 5.060 5.060 90.00 90.00 90.00
Space group Fm-3m (No. 225)
Asymmetric unit:
Li (0.000, 0.000, 0.000)
Al (0.000, 0.000, 0.500)
N (0.250, 0.250, 0.250)

relative energy among the computed polymorphs	279	meV per atom
formation energy from raw total energies	192	meV/atom

---

Material: LiAl2N
Method: DFT, PBE
State: relaxed

Lattice parameters (Å, degrees): 6.035 6.035 6.035 90.00 90.00 90.00
Space group Fm-3m (No. 225)
Asymmetric unit:
Li (0.000, 0.000, 0.000)
Al (0.250, 0.250, 0.250)
N (0.000, 0.000, 0.500)

relative energy among the computed polymorphs	1209	meV per atom
formation energy from raw total energies	871	meV/atom

---

Material: LiAl2N
Method: DFT, PBE
State: relaxed

Lattice parameters (Å, degrees): 5.626 5.626 7.789 90.00 90.00 90.00
Space group I-42d (No. 122)
Asymmetric unit:
Li (0.000, 0.000, 0.000)
Al (0.152, 0.250, 0.625)
N (0.000, 0.000, 0.500)

relative energy among the computed polymorphs	136	meV per atom
formation energy from raw total energies	-201	meV/atom

---

Material: Li2AlN
Method: DFT, PBE
State: relaxed

Lattice parameters (Å, degrees): 4.906 4.906 10.796 90.00 90.00 90.00
Space group I4_1/amd (No. 141, origin choice 2)
Asymmetric unit:
Li (0.000, 0.000, 0.000)
Al (0.000, 0.250, 0.375)
N (0.000, 0.250, 0.875)

relative energy among the computed polymorphs	0	meV per atom
formation energy from raw total energies	435	meV/atom

---

Material: LiAl2N
Method: DFT, PBE
State: relaxed

Lattice parameters (Å, degrees): 2.8897 2.8897 22.5374 90.00 90.00 120.00
Space group R-3m (No. 166, hexagonal axes)
Asymmetric unit:
Li (0.0000, 0.0000, 0.0000)
Al (0.0000, 0.0000, 0.1135)
N (0.0000, 0.0000, 0.5000)

relative energy among the computed polymorphs	0	meV per atom
formation energy from raw total energies	-338	meV/atom

---

Material: Li2AlN
Method: DFT, PBE
State: relaxed

Lattice parameters (Å, degrees): 5.755 5.755 5.755 90.00 90.00 90.00
Space group Fm-3m (No. 225)
Asymmetric unit:
Li (0.250, 0.250, 0.250)
Al (0.000, 0.000, 0.000)
N (0.000, 0.000, 0.500)

relative energy among the computed polymorphs	33	meV per atom
formation energy from raw total energies	468	meV/atom

---

Material: Na2LiAlN
Method: DFT, PBE
State: relaxed

Lattice parameters (Å, degrees): 5.292 5.292 3.644 90.00 90.00 90.00
Space group P4/mmm (No. 123)
Asymmetric unit:
Na (0.000, 0.500, 0.000)
Li (0.000, 0.000, 0.500)
Al (0.500, 0.500, 0.500)
N (0.500, 0.500, 0.000)

formation energy from raw total energies	-6	meV/atom

---

Material: LiNbAlN2
Method: DFT, PBE
State: relaxed

Lattice parameters (Å, degrees): 4.051 4.051 5.307 90.00 90.00 90.00
Space group P4/mmm (No. 123)
Asymmetric unit:
Li (0.000, 0.000, 0.000)
Nb (0.000, 0.000, 0.500)
Al (0.500, 0.500, 0.000)
N (0.000, 0.500, 0.500)

formation energy from raw total energies	653	meV/atom

---

Material: LiAlN2O
Method: DFT, PBE
State: relaxed

Lattice parameters (Å, degrees): 3.480 3.480 3.715 90.00 90.00 90.00
Space group P4/mmm (No. 123)
Asymmetric unit:
Li (0.000, 0.000, 0.000)
Al (0.500, 0.500, 0.500)
N (0.000, 0.500, 0.000)
O (0.000, 0.000, 0.500)

formation energy from raw total energies	1037	meV/atom

---

Material: LiAlN2O
Method: DFT, PBE
State: relaxed

Lattice parameters (Å, degrees): 3.870 3.870 3.704 90.00 90.00 90.00
Space group P4/mmm (No. 123)
Asymmetric unit:
Li (0.000, 0.000, 0.000)
Al (0.500, 0.500, 0.500)
N (0.000, 0.500, 0.500)
O (0.500, 0.500, 0.000)

formation energy from raw total energies	14	meV/atom

---

Material: Sr4Li2Ta2Al2N8O
Method: DFT, PBE
State: relaxed

Lattice parameters (Å, degrees): 6.065 10.046 10.981 90.00 120.31 90.00
Space group P2_1/c (No. 14)
Asymmetric unit:
Sr (0.068, 0.245, 0.071)
Sr (0.262, 0.562, 0.794)
Li (0.310, 0.012, 0.003)
Ta (0.275, 0.600, 0.241)
Al (0.387, 0.247, 0.903)
N (0.069, 0.167, 0.330)
N (0.318, 0.086, 0.800)
N (0.383, 0.633, 0.103)
N (0.496, 0.699, 0.411)
O (0.000, 0.000, 0.000)

formation energy from raw total energies	-1315	meV/atom

---

Material: LiAl2PN4
Method: DFT, PBE
State: relaxed

Lattice parameters (Å, degrees): 4.504 4.504 7.911 90.00 90.00 90.00
Space group I-42m (No. 121)
Asymmetric unit:
Li (0.000, 0.000, 0.000)
Al (0.000, 0.500, 0.250)
P (0.000, 0.000, 0.500)
N (0.212, 0.212, 0.622)

formation energy from raw total energies	-1109	meV/atom

---

Material: LiPa2AlN4
Method: DFT, PBE
State: relaxed

Lattice parameters (Å, degrees): 5.431 3.403 5.855 90.00 109.45 90.00
Space group P2/m (No. 10)
Asymmetric unit:
Li (0.000, 0.000, 0.000)
Pa (0.500, 0.000, 0.500)
Pa (0.500, 0.500, 0.000)
Al (0.000, 0.500, 0.500)
N (0.224, 0.000, 0.730)
N (0.248, 0.500, 0.273)

formation energy from raw total energies	-1014	meV/atom

---

Material: Li2AlReN4
Method: DFT, PBE
State: relaxed

Lattice parameters (Å, degrees): 6.319 5.801 5.193 90.00 90.00 90.00
Space group Pmn2_1 (No. 31)
Asymmetric unit:
Li (0.249, 0.166, 0.000)
Al (0.000, 0.668, 0.007)
Re (0.000, 0.339, 0.509)
N (0.000, 0.371, 0.856)
N (0.000, 0.626, 0.370)
N (0.244, 0.186, 0.414)

formation energy from raw total energies	-654	meV/atom

---

Material: LiAlSN2
Method: DFT, PBE
State: relaxed

Lattice parameters (Å, degrees): 3.740 3.740 5.043 90.00 90.00 90.00
Space group P4/mmm (No. 123)
Asymmetric unit:
Li (0.000, 0.000, 0.000)
Al (0.500, 0.500, 0.500)
S (0.500, 0.500, 0.000)
N (0.000, 0.500, 0.500)

relative energy among the computed polymorphs	0	meV per atom
formation energy from raw total energies	395	meV/atom

---

Material: LiAlSN2
Method: DFT, PBE
State: relaxed

Lattice parameters (Å, degrees): 3.544 3.544 4.954 90.00 90.00 90.00
Space group P4/mmm (No. 123)
Asymmetric unit:
Li (0.000, 0.000, 0.000)
Al (0.500, 0.500, 0.500)
S (0.000, 0.000, 0.500)
N (0.000, 0.500, 0.000)

relative energy among the computed polymorphs	940	meV per atom
formation energy from raw total energies	1336	meV/atom

---

Material: Li2AlSbN
Method: DFT, PBE
State: relaxed

Lattice parameters (Å, degrees): 4.587 4.587 3.561 90.00 90.00 90.00
Space group P4/mmm (No. 123)
Asymmetric unit:
Li (0.000, 0.500, 0.000)
Al (0.000, 0.000, 0.500)
Sb (0.500, 0.500, 0.500)
N (0.000, 0.000, 0.000)

formation energy from raw total energies	-500	meV/atom

---

Material: LiSc2AlN
Method: DFT, PBE
State: relaxed

Lattice parameters (Å, degrees): 4.386 4.386 4.187 90.00 90.00 90.00
Space group P4/mmm (No. 123)
Asymmetric unit:
Li (0.000, 0.000, 0.000)
Sc (0.000, 0.500, 0.500)
Al (0.500, 0.500, 0.000)
N (0.000, 0.000, 0.500)

formation energy from raw total energies	-799	meV/atom

---

Material: Li2AlSeN
Method: DFT, PBE
State: relaxed

Lattice parameters (Å, degrees): 4.166 4.166 3.676 90.00 90.00 90.00
Space group P4/mmm (No. 123)
Asymmetric unit:
Li (0.000, 0.500, 0.000)
Al (0.000, 0.000, 0.500)
Se (0.500, 0.500, 0.500)
N (0.000, 0.000, 0.000)

formation energy from raw total energies	-854	meV/atom

---

Number 1: final energy -50.14 eV/cell. Number 2: final energy -86.16 eV/cell. Number 3: final energy -56.96 eV/cell. Number 4: final energy -74.12 eV/cell. Number 5: final energy -56.62 eV/cell. Number 6: final energy -57.23 eV/cell. Number 7: final energy -56.10 eV/cell. Number 8: final energy -16.65 eV/cell. Number 9: final energy -29.11 eV/cell. Number 10: final energy -22.08 eV/cell. Number 11: final energy -27.20 eV/cell. Number 12: final energy -276.58 eV/cell. Number 13: final energy -113.96 eV/cell. Number 14: final energy -66.06 eV/cell. Number 15: final energy -117.11 eV/cell. Number 16: final energy -24.46 eV/cell. Number 17: final energy -19.76 eV/cell. Number 18: final energy -22.52 eV/cell. Number 19: final energy -30.64 eV/cell. Number 20: final energy -23.65 eV/cell.